(1)
## Tb3Er2Al2 (GGA-PBE)

Data for a relaxed Tb3Er2Al2 crystal.

a = 5.260 Å, b = 5.258 Å, c = 8.365 Å
α = 108.35°, β = 89.99°, γ = 120.02°
Element x y z (fractional)
Tb 0.500 0.000 0.000
Tb 0.654 0.307 0.461
Tb 0.346 0.693 0.539
Er 0.919 0.837 0.256
Er 0.081 0.163 0.744
Al 0.783 0.566 0.849
Al 0.217 0.434 0.151

## Properties
space group: No. 12
calculated formation energy: -0.20 eV per atom
VASP energy: -4.5551 eV/atom
relative energy among the computed polymorphs: 16 meV/atom

(2)
## Tb4ErAl3 (GGA-PBE)

Data for a relaxed Tb4ErAl3 crystal.

a = 3.384 Å, b = 8.605 Å, c = 8.698 Å
α = 119.65°, β = 101.22°, γ = 90.00°
Element x y z (fractional)
Tb 0.360 0.557 0.721
Tb 0.640 0.443 0.279
Tb 0.640 0.837 0.279
Tb 0.360 0.163 0.721
Er 0.500 0.000 0.000
Al 0.000 0.500 0.000
Al 0.182 0.182 0.364
Al 0.818 0.818 0.636

## Properties
space group: No. 71
calculated formation energy: -0.13 eV per atom
VASP energy: -4.4231 eV/atom

Calculated D(E_F) in order - 0.66, 0.92 states/eV per atom